Version A
LaMn2Re: optimized geometry, PBE.

a b c (Å): 5.9849 5.0264 2.9422
angles (deg): 83.46 72.53 120.49
With the nearest neighbours (Å) after each atom.
Element x y z (fractional)
Mn: 0.5000 0.0000 0.5000  4 Re 2.76-3.05, 4 La 2.76-3.05, 4 Mn 2.91-2.94
Mn: 0.0000 0.0000 0.0000  4 La 2.76-3.05, 4 Re 2.76-3.05, 4 Mn 2.91-2.94
La: 0.5000 0.5000 0.0000  8 Mn 2.76-3.05, 2 Re 2.91, 2 La 2.94
Re: 0.0000 0.5000 0.5000  8 Mn 2.76-3.05, 2 La 2.91, 2 Re 2.94

=====

Version B
LaMn2Re: optimized geometry, PBE.

a b c (Å): 4.5516 4.5516 4.5516
angles (deg): 60.00 60.00 60.00
With the nearest neighbours (Å) after each atom.
Element x y z (fractional)
La: 0.0000 0.0000 0.0000  8 Mn 2.79
Re: 0.5000 0.5000 0.5000  8 Mn 2.79
Mn: 0.2500 0.2500 0.2500  4 La 2.79, 4 Re 2.79
Mn: 0.7500 0.7500 0.7500  4 Re 2.79, 4 La 2.79

=====

Version C
LaMn2Re: optimized geometry, PBE.

a b c (Å): 4.5985 4.5985 4.5985
angles (deg): 60.00 60.00 60.00
With the nearest neighbours (Å) after each atom.
Element x y z (fractional)
Mn: 0.0000 0.0000 0.0000  4 Mn 2.82, 4 Re 2.82
Mn: 0.7500 0.7500 0.7500  4 La 2.82, 4 Mn 2.82
La: 0.5000 0.5000 0.5000  4 Mn 2.82, 4 Re 2.82
Re: 0.2500 0.2500 0.2500  4 La 2.82, 4 Mn 2.82

=====

Most stable: version B

=====

Version A
La2MnRe: optimized geometry, PBE.

a b c (Å): 8.3012 8.3012 6.5900
angles (deg): 50.96 50.96 90.00
With the nearest neighbours (Å) after each atom.
Element x y z (fractional)
Mn: 0.5000 0.5000 0.0000  2 Re 3.00, 4 La 3.34
Mn: 0.2500 0.7500 0.5000  2 Re 3.00, 4 La 3.34
La: 0.8750 0.9266 0.7500  2 Re 2.75
La: 0.6766 0.1250 0.2500  2 Re 2.75
La: 0.3750 0.3234 0.7500  2 Re 2.75
La: 0.0734 0.6250 0.2500  2 Re 2.75
Re: 0.0000 0.0000 0.0000  4 La 2.75, 2 Mn 3.00
Re: 0.7500 0.2500 0.5000  4 La 2.75, 2 Mn 3.00

=====

Version B
La2MnRe: optimized geometry, PBE.

a b c (Å): 3.6094 3.5964 8.3637
angles (deg): 64.62 90.00 90.00
With the nearest neighbours (Å) after each atom.
Element x y z (fractional)
Re: 0.5000 0.7500 0.7500  8 La 3.08
La: 0.0000 0.0200 0.9797  4 Re 3.08, 4 Mn 3.26-3.27
La: 0.0000 0.4800 0.5203  4 Re 3.08, 4 Mn 3.26-3.27
Mn: 0.5000 0.2500 0.2500  8 La 3.26-3.27, 4 Mn 3.60-3.61

=====

Most stable: version B

=====

Version A
LaMn3Re: optimized geometry, PBE.

a b c (Å): 4.7331 4.7331 4.7331
angles (deg): 90.00 90.00 90.00
With the nearest neighbours (Å) after each atom.
Element x y z (fractional)
Mn: 0.0000 0.5000 0.0000  2 Re 2.37
Mn: 0.5000 0.0000 0.0000  2 Re 2.37
Mn: 0.0000 0.0000 0.5000  2 Re 2.37
Re: 0.0000 0.0000 0.0000  6 Mn 2.37
La: 0.5000 0.5000 0.5000  12 Mn 3.35

=====

Version B
LaMn3Re: optimized geometry, PBE.

a b c (Å): 4.4410 4.4410 4.4410
angles (deg): 90.00 90.00 90.00
With the nearest neighbours (Å) after each atom.
Element x y z (fractional)
La: 0.0000 0.0000 0.0000  6 Mn 2.22
Mn: 0.5000 0.0000 0.0000  2 La 2.22
Mn: 0.0000 0.5000 0.0000  2 La 2.22
Mn: 0.0000 0.0000 0.5000  2 La 2.22
Re: 0.5000 0.5000 0.5000  12 Mn 3.14

=====

Most stable: version A

=====

Version A
LaMnRu3: optimized geometry, PBE.

a b c (Å): 4.5309 4.5309 4.5309
angles (deg): 90.00 90.00 90.00
With the nearest neighbours (Å) after each atom.
Element x y z (fractional)
La: 0.5000 0.5000 0.5000  12 Ru 3.20
Ru: 0.0000 0.5000 0.0000  2 Mn 2.27
Ru: 0.0000 0.0000 0.5000  2 Mn 2.27
Ru: 0.5000 0.0000 0.0000  2 Mn 2.27
Mn: 0.0000 0.0000 0.0000  6 Ru 2.27

=====

Version B
LaMnRu3: optimized geometry, PBE.

a b c (Å): 4.7692 4.7692 4.7692
angles (deg): 90.00 90.00 90.00
With the nearest neighbours (Å) after each atom.
Element x y z (fractional)
Mn: 0.5000 0.5000 0.5000  12 Ru 3.37
Ru: 0.0000 0.0000 0.5000  2 La 2.38
Ru: 0.0000 0.5000 0.0000  2 La 2.38
Ru: 0.5000 0.0000 0.0000  2 La 2.38
La: 0.0000 0.0000 0.0000  6 Ru 2.38

=====

Most stable: version A

=====

Version A
LaMn2Ru2: optimized geometry, PBE.

a b c (Å): 7.6078 7.6078 2.8675
angles (deg): 90.00 90.00 90.00
With the nearest neighbours (Å) after each atom.
Element x y z (fractional)
Mn: 0.8705 0.6295 0.0000  6 Ru 2.62-2.71, 3 Mn 2.79-2.87
Mn: 0.1295 0.3705 0.0000  6 Ru 2.62-2.71, 3 Mn 2.79-2.87
Mn: 0.6295 0.1295 0.0000  6 Ru 2.62-2.71, 3 Mn 2.79-2.87
Mn: 0.3705 0.8705 0.0000  6 Ru 2.62-2.71, 3 Mn 2.79-2.87
La: 0.5000 0.5000 0.0000  2 La 2.87, 4 Mn 2.99, 8 Ru 3.21
La: 0.0000 0.0000 0.0000  2 La 2.87, 4 Mn 2.99, 8 Ru 3.21
Ru: 0.1570 0.6570 0.5000  6 Mn 2.62-2.71, 2 Ru 2.87
Ru: 0.3430 0.1570 0.5000  6 Mn 2.62-2.71, 2 Ru 2.87
Ru: 0.8430 0.3430 0.5000  6 Mn 2.62-2.71, 2 Ru 2.87
Ru: 0.6570 0.8430 0.5000  6 Mn 2.62-2.71, 2 Ru 2.87

=====

Version B
LaMn2Ru2: optimized geometry, PBE.

a b c (Å): 4.1542 4.1542 6.1072
angles (deg): 70.12 70.12 90.00
With the nearest neighbours (Å) after each atom.
Element x y z (fractional)
La: 0.0000 0.0000 0.0000  8 Ru 3.18, 8 Mn 3.39
Ru: 0.6141 0.6141 0.7718  1 Ru 2.44, 4 Mn 2.54
Ru: 0.3859 0.3859 0.2282  1 Ru 2.44, 4 Mn 2.54
Mn: 0.7500 0.2500 0.5000  4 Ru 2.54
Mn: 0.2500 0.7500 0.5000  4 Ru 2.54

=====

Most stable: version B

=====

Version A
La2MnSb4: optimized geometry, PBE.

a b c (Å): 5.0823 5.0823 8.8621
angles (deg): 73.34 73.34 90.00
With the nearest neighbours (Å) after each atom.
Element x y z (fractional)
La: 0.6376 0.6376 0.7248  5 Sb 3.18-3.38
La: 0.3624 0.3624 0.2752  5 Sb 3.18-3.38
Sb: 0.1662 0.1662 0.6675  1 Mn 2.69
Sb: 0.5000 0.0000 0.0000  2 Mn 2.54
Sb: 0.0000 0.5000 0.0000  2 Mn 2.54
Sb: 0.8338 0.8338 0.3325  1 Mn 2.69
Mn: 0.0000 0.0000 0.0000  6 Sb 2.54-2.69

=====

Version B
La2MnSb4: optimized geometry, PBE.

a b c (Å): 4.4945 4.4945 10.1069
angles (deg): 90.00 90.00 90.00
With the nearest neighbours (Å) after each atom.
Element x y z (fractional)
Sb: 0.0000 0.5000 0.8616  2 Mn 2.65
Sb: 0.0000 0.0000 0.5000  4 Sb 3.18, 4 La 3.40
Sb: 0.5000 0.0000 0.1384  2 Mn 2.65
Sb: 0.5000 0.5000 0.5000  4 Sb 3.18, 4 La 3.40
La: 0.5000 0.0000 0.7523  2 Mn 3.36, 8 Sb 3.36-3.40
La: 0.0000 0.5000 0.2477  2 Mn 3.36, 8 Sb 3.36-3.40
Mn: 0.5000 0.5000 0.0000  4 Sb 2.65

=====

Most stable: version B

=====

Version A
La4Mn3Sb8: optimized geometry, PBE.

a b c (Å): 11.4820 11.4820 11.4820
angles (deg): 148.35 148.35 45.37
With the nearest neighbours (Å) after each atom.
Element x y z (fractional)
Sb: 0.7499 0.7499 0.0000  4 Sb 3.13, 4 La 3.36-3.37
Sb: 0.8223 0.3249 0.0000  3 Mn 2.71-2.72
Sb: 0.7500 0.2500 0.5000  4 Sb 3.13, 4 La 3.36
Sb: 0.3249 0.8223 0.0000  3 Mn 2.71-2.72
Sb: 0.6751 0.6751 0.4974  3 Mn 2.71-2.72
Sb: 0.2500 0.7500 0.5000  4 Sb 3.13, 4 La 3.36
Sb: 0.1777 0.1777 0.5026  3 Mn 2.71-2.72
Sb: 0.2501 0.2501 0.0000  4 Sb 3.13, 4 La 3.36-3.37
La: 0.1185 0.6206 0.0000  8 Sb 3.35-3.37, 3 Mn 3.53-3.54
La: 0.8815 0.8815 0.5021  8 Sb 3.35-3.37, 3 Mn 3.53-3.54
La: 0.3794 0.3794 0.4979  8 Sb 3.35-3.37, 3 Mn 3.53-3.54
La: 0.6206 0.1185 0.0000  8 Sb 3.35-3.37, 3 Mn 3.53-3.54
Mn: 0.0000 0.5000 0.5000  4 Sb 2.71
Mn: 0.0000 0.0000 0.0000  4 Sb 2.72
Mn: 0.5000 0.0000 0.5000  4 Sb 2.71

=====

Version B
La4Mn3Sb8: optimized geometry, PBE.

a b c (Å): 4.4295 4.4295 21.1521
angles (deg): 90.00 90.00 90.00
With the nearest neighbours (Å) after each atom.
Element x y z (fractional)
Mn: 0.0000 0.0000 0.5000  4 Sb 2.80
Mn: 0.0000 0.0000 0.0000  4 Sb 2.64
Mn: 0.5000 0.5000 0.5000  4 Sb 2.80
Sb: 0.5000 0.5000 0.2431  4 Sb 3.13, 4 La 3.38-3.39
Sb: 0.0000 0.5000 0.4193  4 Mn 2.80
Sb: 0.5000 0.0000 0.5807  4 Mn 2.80
Sb: 0.5000 0.0000 0.0677  2 Mn 2.64
Sb: 0.0000 0.5000 0.9323  2 Mn 2.64
Sb: 0.0000 0.0000 0.2427  4 Sb 3.13, 4 La 3.38
Sb: 0.0000 0.0000 0.7573  4 Sb 3.13, 4 La 3.38
Sb: 0.5000 0.5000 0.7569  4 Sb 3.13, 4 La 3.38-3.39
La: 0.5000 0.0000 0.8783  8 Sb 3.33-3.39, 2 Mn 3.40
La: 0.0000 0.5000 0.6365  8 Sb 3.35-3.38, 4 Mn 3.64
La: 0.0000 0.5000 0.1217  8 Sb 3.33-3.39, 2 Mn 3.40
La: 0.5000 0.0000 0.3635  8 Sb 3.35-3.38, 4 Mn 3.64

=====

Most stable: version A

=====

Version A
La2ScMn: optimized geometry, PBE.

a b c (Å): 8.4800 8.4800 6.7613
angles (deg): 51.16 51.16 90.00
With the nearest neighbours (Å) after each atom.
Element x y z (fractional)
La: 0.8750 0.9359 0.7500  2 Mn 2.77
La: 0.6859 0.1250 0.2500  2 Mn 2.77
La: 0.3750 0.3141 0.7500  2 Mn 2.77
La: 0.0641 0.6250 0.2500  2 Mn 2.77
Sc: 0.2500 0.7500 0.5000  2 Mn 3.12, 4 La 3.47
Sc: 0.5000 0.5000 0.0000  2 Mn 3.12, 4 La 3.47
Mn: 0.7500 0.2500 0.5000  4 La 2.77
Mn: 0.0000 0.0000 0.0000  4 La 2.77

=====

Version B
La2ScMn: optimized geometry, PBE.

a b c (Å): 10.7347 10.7347 10.7347
angles (deg): 18.67 18.67 18.67
With the nearest neighbours (Å) after each atom.
Element x y z (fractional)
Mn: 0.4952 0.4952 0.4952  3 Sc 2.86, 3 La 3.13
Sc: 0.7642 0.7642 0.7642  3 Mn 2.86
La: 0.2376 0.2376 0.2376  3 Mn 3.13, 6 La 3.48
La: 0.0029 0.0029 0.0029  9 La 3.48-3.71, 3 Sc 3.61

=====

Version C
La2ScMn: optimized geometry, PBE.

a b c (Å): 6.2199 6.2199 6.2199
angles (deg): 144.62 129.48 63.18
With the nearest neighbours (Å) after each atom.
Element x y z (fractional)
La: 0.5468 0.5468 0.0000  2 Mn 2.86
La: 0.9532 0.9532 0.0000  2 Mn 2.86
Mn: 0.7500 0.2500 0.5000  4 La 2.86
Sc: 0.2500 0.7500 0.5000  4 Mn 3.26, 4 La 3.42

=====

Version D
La2ScMn: optimized geometry, PBE.

a b c (Å): 10.5215 10.5215 10.5215
angles (deg): 19.35 19.35 19.35
With the nearest neighbours (Å) after each atom.
Element x y z (fractional)
Mn: 0.2500 0.2500 0.2500  6 La 3.09
Sc: 0.7500 0.7500 0.7500  6 La 3.49, 6 Sc 3.54
La: 0.5082 0.5082 0.5082  3 Mn 3.09
La: 0.9918 0.9918 0.9918  3 Mn 3.09

=====

Most stable: version C

=====

Version A
LaScMn3: optimized geometry, PBE.

a b c (Å): 4.8638 4.8638 4.8638
angles (deg): 90.00 90.00 90.00
With the nearest neighbours (Å) after each atom.
Element x y z (fractional)
La: 0.5000 0.5000 0.5000  12 Mn 3.44
Mn: 0.0000 0.5000 0.0000  2 Sc 2.43
Mn: 0.5000 0.0000 0.0000  2 Sc 2.43
Mn: 0.0000 0.0000 0.5000  2 Sc 2.43
Sc: 0.0000 0.0000 0.0000  6 Mn 2.43

=====

Version B
LaScMn3: optimized geometry, PBE.

a b c (Å): 4.5012 4.5012 4.5012
angles (deg): 90.00 90.00 90.00
With the nearest neighbours (Å) after each atom.
Element x y z (fractional)
Mn: 0.0000 0.5000 0.0000  2 La 2.25
Mn: 0.5000 0.0000 0.0000  2 La 2.25
Mn: 0.0000 0.0000 0.5000  2 La 2.25
La: 0.0000 0.0000 0.0000  6 Mn 2.25
Sc: 0.5000 0.5000 0.5000  12 Mn 3.18

=====

Most stable: version A

=====

Version A
LaMnSe2: optimized geometry, PBE.

a b c (Å): 6.6393 6.6393 6.6393
angles (deg): 34.44 34.44 34.44
With the nearest neighbours (Å) after each atom.
Element x y z (fractional)
Se: 0.0576 0.0576 0.0576  3 Mn 2.42
Se: 0.2702 0.2702 0.2702  3 Mn 2.68
La: 0.4929 0.4929 0.4929  6 Se 2.97-3.07
Mn: 0.6793 0.6793 0.6793  6 Se 2.42-2.68

=====

Version B
LaMnSe2: optimized geometry, PBE.

a b c (Å): 4.0371 4.0371 6.2431
angles (deg): 71.14 71.14 60.01
With the nearest neighbours (Å) after each atom.
Element x y z (fractional)
Se: 0.0231 0.0231 0.9309  3 Mn 2.56
Se: 0.4769 0.4769 0.5691  3 Mn 2.56
Mn: 0.7500 0.7500 0.7500  6 Se 2.56
La: 0.2500 0.2500 0.2500  6 Se 2.97

=====

Most stable: version B

=====

Version A
LaMnSe2: optimized geometry, PBE.

a b c (Å): 7.9275 4.9660 3.6833
angles (deg): 89.99 62.33 128.75
With the nearest neighbours (Å) after each atom.
Element x y z (fractional)
Mn: 0.5000 0.5000 0.0000  8 Se 3.09
Se: 0.5000 0.0000 0.5000  4 Mn 3.09, 4 La 3.09
Se: 0.0000 0.0000 0.0000  4 La 3.09, 4 Mn 3.09
La: 0.0000 0.5000 0.5000  8 Se 3.09

=====

Version B
LaMnSe2: optimized geometry, PBE.

a b c (Å): 4.6491 4.0285 5.8810
angles (deg): 69.89 90.00 90.00
With the nearest neighbours (Å) after each atom.
Element x y z (fractional)
La: 0.0000 0.5791 0.4675  7 Se 3.11-3.16
Se: 0.5000 0.1439 0.3381  1 Mn 2.49
Se: 0.0000 0.8600 0.9051  2 Mn 2.41
Mn: 0.5000 0.9170 0.7893  3 Se 2.41-2.49

=====

Most stable: version B